#w
A plane-wave DFT calculation with GGA-PBE was carried out for a geometry-optimized La2Dy2Y structure.

Geometry as CIF:
```
data_La2Dy2Y
_chemical_formula_sum 'La8 Dy8 Y4'
_cell_length_a 16.0743
_cell_length_b 6.3500
_cell_length_c 6.8940
_cell_angle_alpha 90.00
_cell_angle_beta 103.98
_cell_angle_gamma 90.00
_symmetry_space_group_name_H-M 'C 1 2/c 1'
_symmetry_Int_Tables_number 15
loop_
_symmetry_equiv_pos_as_xyz
'x,y,z'
'-x,-y,-z'
'-x,y,-z+1/2'
'x,-y,z+1/2'
'x+1/2,y+1/2,z'
'-x+1/2,-y+1/2,-z'
'-x+1/2,y+1/2,-z+1/2'
'x+1/2,-y+1/2,z+1/2'
loop_
_atom_site_label
_atom_site_type_symbol
_atom_site_fract_x
_atom_site_fract_y
_atom_site_fract_z
La1 La 0.1011 0.0810 0.4441
Dy1 Dy 0.2004 0.4198 0.1503
Y1 Y 0.0000 0.4170 0.7500
```

#x
A plane-wave DFT calculation with GGA-PBE was carried out for a geometry-optimized La2Dy2Y structure.

Geometry as CIF:
```
data_La2Dy2Y
_chemical_formula_sum 'La8 Dy8 Y4'
_cell_length_a 8.6438
_cell_length_b 13.3943
_cell_length_c 6.4615
_cell_angle_alpha 90.00
_cell_angle_beta 108.07
_cell_angle_gamma 90.00
_symmetry_space_group_name_H-M 'C 1 2/c 1'
_symmetry_Int_Tables_number 15
loop_
_symmetry_equiv_pos_as_xyz
'x,y,z'
'-x,-y,-z'
'-x,y,-z+1/2'
'x,-y,z+1/2'
'x+1/2,y+1/2,z'
'-x+1/2,-y+1/2,-z'
'-x+1/2,y+1/2,-z+1/2'
'x+1/2,-y+1/2,z+1/2'
loop_
_atom_site_label
_atom_site_type_symbol
_atom_site_fract_x
_atom_site_fract_y
_atom_site_fract_z
La1 La 0.0000 0.1855 0.2500
La2 La 0.0000 0.2998 0.7500
Dy1 Dy 0.1722 0.0557 0.9242
Y1 Y 0.0000 0.4366 0.2500
```

Calculated relative energies: #w 0; #x 192, given in meV per atom

#w
A plane-wave DFT calculation with GGA-PBE was carried out for a geometry-optimized La4DyY2 structure.

Geometry as CIF:
```
data_La4DyY2
_chemical_formula_sum 'La16 Dy4 Y8'
_cell_length_a 6.9903
_cell_length_b 11.5921
_cell_length_c 12.2363
_cell_angle_alpha 90.00
_cell_angle_beta 90.00
_cell_angle_gamma 90.00
_symmetry_space_group_name_H-M 'I m m a'
_symmetry_Int_Tables_number 74
_symmetry_space_group_name_Hall '-I 2b 2'
loop_
_atom_site_label
_atom_site_type_symbol
_atom_site_fract_x
_atom_site_fract_y
_atom_site_fract_z
La1 La 0.0000 0.0014 0.1511
La2 La 0.2164 0.2500 0.9939
Dy1 Dy 0.2500 0.2500 0.2500
Y1 Y 0.0000 0.0000 0.5000
Y2 Y 0.0000 0.2500 0.7144
```

#x
A plane-wave DFT calculation with GGA-PBE was carried out for a geometry-optimized La4DyY2 structure.

Geometry as CIF:
```
data_La4DyY2
_chemical_formula_sum 'La16 Dy4 Y8'
_cell_length_a 6.5601
_cell_length_b 24.7148
_cell_length_c 6.9012
_cell_angle_alpha 90.00
_cell_angle_beta 118.33
_cell_angle_gamma 90.00
_symmetry_space_group_name_H-M 'C 1 c 1'
_symmetry_Int_Tables_number 9
loop_
_symmetry_equiv_pos_as_xyz
'x,y,z'
'x,-y,z+1/2'
'x+1/2,y+1/2,z'
'x+1/2,-y+1/2,z+1/2'
loop_
_atom_site_label
_atom_site_type_symbol
_atom_site_fract_x
_atom_site_fract_y
_atom_site_fract_z
La1 La 0.0000 0.0184 0.0000
La2 La 0.0883 0.3035 0.2347
La3 La 0.1388 0.2681 0.7785
La4 La 0.4927 0.0531 0.5465
Dy1 Dy 0.0367 0.1250 0.6400
Y1 Y 0.0668 0.4077 0.5956
Y2 Y 0.1120 0.1579 0.1856
```

Calculated relative energies: #w 151; #x 0, given in meV per atom

#w
A plane-wave DFT calculation with GGA-PBE was carried out for a geometry-optimized La2Dy4Y5 structure.

Geometry as CIF:
```
data_La2Dy4Y5
_chemical_formula_sum 'La4 Dy8 Y10'
_cell_length_a 24.0961
_cell_length_b 3.4524
_cell_length_c 8.8339
_cell_angle_alpha 90.00
_cell_angle_beta 96.30
_cell_angle_gamma 90.00
_symmetry_space_group_name_H-M 'C 1 2/m 1'
_symmetry_Int_Tables_number 12
loop_
_symmetry_equiv_pos_as_xyz
'x,y,z'
'-x,-y,-z'
'-x,y,-z'
'x,-y,z'
'x+1/2,y+1/2,z'
'-x+1/2,-y+1/2,-z'
'-x+1/2,y+1/2,-z'
'x+1/2,-y+1/2,z'
loop_
_atom_site_label
_atom_site_type_symbol
_atom_site_fract_x
_atom_site_fract_y
_atom_site_fract_z
La1 La 0.0910 0.0000 0.2416
Dy1 Dy 0.0464 0.0000 0.8620
Dy2 Dy 0.1784 0.5000 0.9725
Y1 Y 0.0000 0.5000 0.5000
Y2 Y 0.1408 0.0000 0.6229
Y3 Y 0.2332 0.0000 0.3243
```

#x
A plane-wave DFT calculation with GGA-PBE was carried out for a geometry-optimized La2Dy4Y5 structure.

Geometry as CIF:
```
data_La2Dy4Y5
_chemical_formula_sum 'La4 Dy8 Y10'
_cell_length_a 16.6302
_cell_length_b 6.7146
_cell_length_c 6.7391
_cell_angle_alpha 90.00
_cell_angle_beta 99.60
_cell_angle_gamma 90.00
_symmetry_space_group_name_H-M 'C 1 2/m 1'
_symmetry_Int_Tables_number 12
loop_
_symmetry_equiv_pos_as_xyz
'x,y,z'
'-x,-y,-z'
'-x,y,-z'
'x,-y,z'
'x+1/2,y+1/2,z'
'-x+1/2,-y+1/2,-z'
'-x+1/2,y+1/2,-z'
'x+1/2,-y+1/2,z'
loop_
_atom_site_label
_atom_site_type_symbol
_atom_site_fract_x
_atom_site_fract_y
_atom_site_fract_z
La1 La 0.2018 0.0000 0.2970
Dy1 Dy 0.0858 0.5000 0.4035
Dy2 Dy 0.2442 0.0000 0.8037
Y1 Y 0.0000 0.0000 0.5000
Y2 Y 0.0891 0.2618 0.9078
```

Calculated relative energies: #w 0; #x 6, given in meV per atom

#w
A plane-wave DFT calculation with GGA-PBE was carried out for a geometry-optimized La2DyY structure.

Geometry as CIF:
```
data_La2DyY
_chemical_formula_sum 'La2 Dy1 Y1'
_cell_length_a 3.7141
_cell_length_b 3.7141
_cell_length_c 9.9911
_cell_angle_alpha 90.00
_cell_angle_beta 90.00
_cell_angle_gamma 90.00
_symmetry_space_group_name_H-M 'P 4/m m m'
_symmetry_Int_Tables_number 123
_symmetry_space_group_name_Hall '-P 4 2'
loop_
_atom_site_label
_atom_site_type_symbol
_atom_site_fract_x
_atom_site_fract_y
_atom_site_fract_z
La1 La 0.0000 0.0000 0.2485
Dy1 Dy 0.5000 0.5000 0.0000
Y1 Y 0.5000 0.5000 0.5000
```

#x
A plane-wave DFT calculation with GGA-PBE was carried out for a geometry-optimized La2DyY structure.

Geometry as CIF:
```
data_La2DyY
_chemical_formula_sum 'La8 Dy4 Y4'
_cell_length_a 8.2275
_cell_length_b 8.2275
_cell_length_c 8.2275
_cell_angle_alpha 90.00
_cell_angle_beta 90.00
_cell_angle_gamma 90.00
_symmetry_space_group_name_H-M 'F m -3 m'
_symmetry_Int_Tables_number 225
_symmetry_space_group_name_Hall '-F 4 2 3'
loop_
_atom_site_label
_atom_site_type_symbol
_atom_site_fract_x
_atom_site_fract_y
_atom_site_fract_z
La1 La 0.2500 0.2500 0.2500
Dy1 Dy 0.0000 0.0000 0.0000
Y1 Y 0.0000 0.0000 0.5000
```

#y
A plane-wave DFT calculation with GGA-PBE was carried out for a geometry-optimized La2DyY structure.

Geometry as CIF:
```
data_La2DyY
_chemical_formula_sum 'La6 Dy3 Y3'
_cell_length_a 3.5430
_cell_length_b 3.5430
_cell_length_c 38.0490
_cell_angle_alpha 90.00
_cell_angle_beta 90.00
_cell_angle_gamma 120.00
_symmetry_space_group_name_H-M 'R -3 m'
_symmetry_Int_Tables_number 166
_symmetry_space_group_name_Hall '-R 3 2"'
loop_
_atom_site_label
_atom_site_type_symbol
_atom_site_fract_x
_atom_site_fract_y
_atom_site_fract_z
La1 La 0.0000 0.0000 0.0877
Dy1 Dy 0.0000 0.0000 0.5000
Y1 Y 0.0000 0.0000 0.0000
```

Calculated relative energies: #w 0; #x 58; #y 142, given in meV per atom